(1)
{
  "formula": "Cr2Os",
  "functional": "GGA-PBEsol",
  "state": "optimized geometry",
  "lattice_angstrom": [[0.0000, 3.2964, 3.2964], [3.2964, 0.0000, 3.2964], [3.2964, 3.2964, 0.0000]],
  "species": ["Cr", "Cr", "Cr", "Cr", "Os", "Os"],
  "frac_coords": [[0.0000, 0.0000, 0.0000], [0.0000, 0.0000, 0.5000], [0.0000, 0.5000, 0.0000], [0.5000, 0.0000, 0.0000], [0.3750, 0.3750, 0.3750], [0.6250, 0.6250, 0.6250]],
  "delta_e_f_ev_per_atom": -0.008,
  "sg": "Fd-3m, No. 227",
  "volume_a3_per_atom": 11.940,
  "dos_at_fermi_per_ev_cell": 4.40
}

(2)
{
  "formula": "BeFeSi2",
  "functional": "GGA-PBEsol",
  "state": "optimized geometry",
  "lattice_angstrom": [[3.6907, 0.0000, 0.0000], [0.0000, 1.3639, 4.2472], [0.0000, -1.3639, 4.2472]],
  "species": ["Be", "Fe", "Si", "Si"],
  "frac_coords": [[0.0000, 0.0000, 0.0000], [0.5000, 0.8562, 0.8562], [0.0000, 0.2664, 0.2664], [0.5000, 0.5812, 0.5812]],
  "sg": "Amm2, No. 38",
  "volume_a3_per_atom": 10.690,
  "dos_at_fermi_per_ev_cell": 1.80,
  "e_form_raw_ev_per_fu": -0.832
}

(3)
{
  "formula": "In2RuBr",
  "functional": "GGA-PBEsol",
  "state": "optimized geometry",
  "lattice_angstrom": [[-2.1140, 2.1140, 4.3673], [2.1140, -2.1140, 4.3673], [2.1140, 2.1140, -4.3673]],
  "species": ["In", "In", "Ru", "Br"],
  "frac_coords": [[0.2500, 0.7500, 0.5000], [0.7500, 0.2500, 0.5000], [0.0000, 0.0000, 0.0000], [0.5000, 0.5000, 0.0000]],
  "sg": "I4/mmm, No. 139",
  "volume_a3_per_atom": 19.518,
  "dos_at_fermi_per_ev_cell": 2.16,
  "e_form_raw_ev_per_fu": 2.018
}

(4)
{
  "formula": "Cd3TcCl",
  "functional": "GGA-PBEsol",
  "state": "optimized geometry",
  "lattice_angstrom": [[5.2661, 0.0000, 0.0000], [0.0000, 5.2661, 0.0000], [0.0000, 0.0000, 5.2661]],
  "species": ["Cd", "Cd", "Cd", "Tc", "Cl"],
  "frac_coords": [[0.0000, 0.0000, 0.5000], [0.0000, 0.5000, 0.0000], [0.5000, 0.0000, 0.0000], [0.0000, 0.0000, 0.0000], [0.5000, 0.5000, 0.5000]],
  "sg": "Pm-3m, No. 221",
  "volume_a3_per_atom": 29.208,
  "dos_at_fermi_per_ev_cell": 3.42,
  "e_form_raw_ev_per_fu": 4.062
}

(5)
{
  "formula": "Mn5Cr4",
  "functional": "GGA-PBEsol",
  "state": "optimized geometry",
  "lattice_angstrom": [[-4.1695, 4.1695, 1.3931], [4.1695, -4.1695, 1.3931], [4.1695, 4.1695, -1.3931]],
  "species": ["Mn", "Mn", "Mn", "Mn", "Mn", "Cr", "Cr", "Cr", "Cr"],
  "frac_coords": [[0.0000, 0.0000, 0.0000], [0.3338, 0.3338, 0.6676], [0.3338, 0.6662, 0.0000], [0.6662, 0.3338, 0.0000], [0.6662, 0.6662, 0.3324], [0.0000, 0.3325, 0.3325], [0.0000, 0.6675, 0.6675], [0.3325, 0.0000, 0.3325], [0.6675, 0.0000, 0.6675]],
  "delta_e_f_ev_per_atom": 0.084,
  "sg": "I4/mmm, No. 139",
  "volume_a3_per_atom": 10.763,
  "dos_at_fermi_per_ev_cell": 12.80
}

(6)
{
  "formula": "K2ZnIr",
  "functional": "GGA-PBEsol",
  "state": "optimized geometry",
  "lattice_angstrom": [[3.4431, 0.0000, 0.0000], [0.0000, 3.4431, 0.0000], [0.0000, 0.0000, 9.7412]],
  "species": ["K", "K", "Zn", "Ir"],
  "frac_coords": [[0.0000, 0.0000, 0.0000], [0.5000, 0.5000, 0.4330], [0.0000, 0.0000, 0.6933], [0.5000, 0.5000, 0.7462]],
  "delta_e_f_ev_per_atom": 0.302,
  "sg": "P4mm, No. 99",
  "volume_a3_per_atom": 28.870,
  "dos_at_fermi_per_ev_cell": 1.24
}

(7)
{
  "formula": "BaPtW2",
  "functional": "GGA-PBEsol",
  "state": "optimized geometry",
  "lattice_angstrom": [[4.7935, 0.0000, 0.0000], [0.0000, 4.7935, 0.0000], [0.0000, 0.0000, 3.1949]],
  "species": ["Ba", "Pt", "W", "W"],
  "frac_coords": [[0.0000, 0.0000, 0.0000], [0.5000, 0.5000, 0.0000], [0.0000, 0.5000, 0.5000], [0.5000, 0.0000, 0.5000]],
  "delta_e_f_ev_per_atom": 1.488,
  "sg": "P4/mmm, No. 123",
  "volume_a3_per_atom": 18.353,
  "dos_at_fermi_per_ev_cell": 5.31
}

(8)
{
  "formula": "MoHSeN2",
  "functional": "GGA-PBEsol",
  "state": "optimized geometry",
  "lattice_angstrom": [[3.7833, 0.0000, 0.0000], [0.0000, 3.7833, 0.0000], [0.0000, 0.0000, 5.2006]],
  "species": ["Mo", "H", "Se", "N", "N"],
  "frac_coords": [[0.0000, 0.0000, 0.0000], [0.5000, 0.5000, 0.5000], [0.0000, 0.0000, 0.5000], [0.0000, 0.5000, 0.0000], [0.5000, 0.0000, 0.0000]],
  "final_energy_ev_per_atom": -6.420,
  "sg": "P4/mmm, No. 123",
  "volume_a3_per_atom": 14.887,
  "dos_at_fermi_per_ev_cell": 3.89
}